This record from Alexandria via LeMat-Bulk describes a relaxed structure of NdAg2. The functional is PBE.

Cell lengths 5.974, 5.974, 5.974 Å; angles 132.35, 106.87, 92.07 degrees
Fractional coordinates of all 6 atoms:
Nd1 0.285 0.035 0.250
Nd2 0.715 0.965 0.750
Ag1 0.127 0.665 0.462
Ag2 0.296 0.335 0.962
Ag3 0.704 0.665 0.038
Ag4 0.873 0.335 0.538

- Total magnetic moment: 0.00 μB per cell
- Final energy: -3.76 eV/atom
- Energy relative to the elements: -0.267 eV per atom
- DOS at the Fermi energy: 0.886 states/eV/atom